Compound: Ac2EuIn
Source: Alexandria
Functional: PBE
Structure: optimized geometry

```
Ac2EuIn
1.0
4.149 0.000 0.000
0.000 4.149 0.000
0.000 0.000 9.094
Ac Eu In
2 1 1
direct
0.000 0.000 0.214
0.000 0.000 0.786
0.500 0.500 0.500
0.500 0.500 0.000
```

Calculated values
* calculated formation energy: -0.180 eV per atom
* calculated density: 7.65 g/cm3
* space group: No. 123
* E above lowest polymorph: 2 kJ/mol of formula units


Compound: Rb2Y2UTe6
Source: Alexandria
Functional: PBE
Structure: optimized geometry

```
Rb2Y2UTe6
1.0
3.853 -6.665 0.000
3.853 6.665 0.000
-2.597 0.000 8.790
Rb Y U Te
2 2 1 6
direct
0.168 0.832 0.000
0.832 0.168 0.000
0.332 0.668 0.500
0.668 0.332 0.500
0.000 0.000 0.500
0.069 0.398 0.698
0.265 0.265 0.304
0.398 0.069 0.698
0.602 0.931 0.302
0.735 0.735 0.696
0.931 0.602 0.302
```

Calculated values
* calculated density: 4.97 g/cm3
* space group: No. 12
* E_form (uncorrected): -1.190 eV per atom


Compound: K2BiCl5
Source: Alexandria
Functional: PBE
Structure: optimized geometry

```
K2BiCl5
1.0
-3.918 3.918 4.427
3.918 -3.918 4.427
3.918 3.918 -4.427
K Bi Cl
2 1 5
direct
0.000 0.500 0.500
0.500 0.000 0.500
0.255 0.255 0.000
0.004 0.004 0.512
0.004 0.492 0.000
0.492 0.004 0.000
0.492 0.492 0.488
0.976 0.976 0.000
```

Calculated values
* calculated density: 2.84 g/cm3
* space group: No. 107
* E_form (uncorrected): -1.440 eV per atom
* E above lowest polymorph: 57 kJ/mol of formula units


Compound: ScFeAs2
Source: Alexandria
Functional: PBE
Structure: optimized geometry

```
ScFeAs2
1.0
3.206 -3.219 0.000
3.206 3.219 0.000
0.000 0.000 3.220
Sc Fe As
1 1 2
direct
0.000 0.000 0.000
0.500 0.500 0.000
0.000 0.500 0.500
0.500 0.000 0.500
```

Calculated values
* calculated formation energy: -0.345 eV per atom
* calculated density: 6.26 g/cm3
* space group: No. 65
* E above lowest polymorph: 81 kJ/mol of formula units